Be2TcN: PBEsol geometry, meta-GGA SCAN.

Summary:
Fermi-level density of states = 0.528 states/eV per atom
Uncorrected energy = -213.1 eV/cell
Energy relative to the elements, uncorrected = -21 kJ/mol of formula units

Geometry as CIF:
```
data_Be2TcN
_symmetry_space_group_name_H-M 'I -4 2 d'
_symmetry_Int_Tables_number 122
_symmetry_space_group_name_Hall 'I -4 2bw'
_cell_length_a 5.705
_cell_length_b 5.705
_cell_length_c 4.298
_cell_angle_alpha 90.00
_cell_angle_beta 90.00
_cell_angle_gamma 90.00
loop_
_atom_site_label
_atom_site_fract_x
_atom_site_fract_y
_atom_site_fract_z
_atom_site_occupancy
Be1 0.147 0.750 0.125 1
Tc1 0.000 0.000 0.500 1
N1 0.000 0.000 0.000 1
```